1.
Below is a geometry-optimized RbNd2Sn3Te6 structure, with properties calculated at the PBE level.

Lattice parameters (Å, degrees): 20.1308 4.5053 9.5142 90.00 103.68 90.00
Space group C2/m (No. 12)
Inequivalent atoms, fractional coordinates:
Rb 0.0000 0.0000 0.0000 [2 per cell]
Nd 0.1701 0.5000 0.3491 [4 per cell]
Sn 0.0000 0.0000 0.5000 [2 per cell]
Sn 0.1584 0.5000 0.8458 [4 per cell]
Te 0.0096 0.5000 0.2788 [4 per cell]
Te 0.1661 0.0000 0.5941 [4 per cell]
Te 0.1826 0.0000 0.1072 [4 per cell]

Calculated values
Magnetic moment = 0.000 μB per atom
DOS at the Fermi energy = 4.12 states/eV/f.u.
VASP energy = -4.199 eV/atom
Raw formation energy = -871 kJ/mol of formula units

2.
Below is a geometry-optimized Zr2SiPb structure, with properties calculated at the PBE level.

Lattice parameters (Å, degrees): 7.6336 7.6336 6.1841 90.00 90.00 90.00
Space group I-42d (No. 122)
Inequivalent atoms, fractional coordinates:
Zr 0.2234 0.7500 0.1250 [8 per cell]
Si 0.0000 0.0000 0.0000 [4 per cell]
Pb 0.0000 0.0000 0.5000 [4 per cell]

Calculated values
Magnetic moment = 0.000 μB per atom
DOS at the Fermi energy = 0.31 states/eV/f.u.
VASP energy = -6.735 eV/atom
Raw formation energy = -69 kJ/mol of formula units

3.
Below is a geometry-optimized KCdAg3 structure, with properties calculated at the PBE level.

Lattice parameters (Å, degrees): 5.6740 5.6740 5.6740 90.00 90.00 90.00
Space group Pm-3m (No. 221)
Inequivalent atoms, fractional coordinates:
K 0.0000 0.0000 0.0000 [1 per cell]
Cd 0.5000 0.5000 0.5000 [1 per cell]
Ag 0.0000 0.0000 0.5000 [3 per cell]

Calculated values
Magnetic moment = 0.000 μB per atom
DOS at the Fermi energy = 3.93 states/eV/f.u.
VASP energy = -1.067 eV/atom
Formation energy = 1.05 eV per atom

- VASP energy of number 3 (KCdAg3)?
  -1.067 eV/atom